Record 1
# GGA-PBE TlAg6Sn, optimized geometry
data_TlAg6Sn
_chemical_formula_sum 'Tl1 Ag6 Sn1'
_space_group_name_H-M_alt 'P 1'
_space_group_IT_number 1
_space_group_name_Hall 'P 1'
_cell_length_a 4.843
_cell_length_b 6.121
_cell_length_c 6.121
_cell_angle_alpha 119.89
_cell_angle_beta 90.00
_cell_angle_gamma 90.00
loop_
_atom_site_label
_atom_site_type_symbol
_atom_site_fract_x
_atom_site_fract_y
_atom_site_fract_z
Ag1 Ag 0.000 0.073 0.411
Ag2 Ag 0.500 0.914 0.086
Ag3 Ag 0.500 0.913 0.577
Ag4 Ag 0.000 0.588 0.412
Ag5 Ag 0.000 0.589 0.927
Ag6 Ag 0.500 0.423 0.087
Tl1 Tl 0.500 0.416 0.584
Sn1 Sn 0.000 0.084 0.916
# - size of the total moment (Bohr magnetons per cell) = 0.00
# - uncorrected energy (eV per atom) = -2.88

***

Record 2
# GGA-PBE KRbSn4, optimized geometry
data_KRbSn4
_chemical_formula_sum 'K1 Rb1 Sn4'
_space_group_name_H-M_alt 'P 1'
_space_group_IT_number 1
_space_group_name_Hall 'P 1'
_cell_length_a 3.446
_cell_length_b 6.466
_cell_length_c 10.273
_cell_angle_alpha 108.34
_cell_angle_beta 99.69
_cell_angle_gamma 90.00
loop_
_atom_site_label
_atom_site_type_symbol
_atom_site_fract_x
_atom_site_fract_y
_atom_site_fract_z
Sn1 Sn 0.315 0.732 0.463
Sn2 Sn 0.442 0.594 0.717
Sn3 Sn 0.685 0.601 0.202
Sn4 Sn 0.442 0.123 0.717
Rb1 Rb 0.783 0.200 0.401
K1 K 0.085 0.000 0.000
# - size of the total moment (Bohr magnetons per cell) = 0.00
# - distance to the lowest polymorph of the same formula (eV per atom) = 0.116
# - uncorrected energy (eV per atom) = -3.05

***

Record 3
# GGA-PBE AlPPbS2, optimized geometry
data_AlPPbS2
_chemical_formula_sum 'Al1 P1 Pb1 S2'
_space_group_name_H-M_alt 'P 1'
_space_group_IT_number 1
_space_group_name_Hall 'P 1'
_cell_length_a 5.327
_cell_length_b 5.327
_cell_length_c 5.347
_cell_angle_alpha 90.00
_cell_angle_beta 90.00
_cell_angle_gamma 90.00
loop_
_atom_site_label
_atom_site_type_symbol
_atom_site_fract_x
_atom_site_fract_y
_atom_site_fract_z
Al1 Al 0.500 0.500 0.500
S1 S 0.500 0.000 0.000
S2 S 0.000 0.500 0.000
P1 P 0.000 0.000 0.500
Pb1 Pb 0.000 0.000 0.000
# - size of the total moment (Bohr magnetons per cell) = 1.90
# - distance to the lowest polymorph of the same formula (eV per atom) = 0.913
# - uncorrected energy (eV per atom) = -3.35
# - formation energy without anion corrections (eV/f.u.) = 4.4

***

Record 4
# GGA-PBE MgPaSn2, optimized geometry
data_MgPaSn2
_chemical_formula_sum 'Mg1 Pa1 Sn2'
_space_group_name_H-M_alt 'P 1'
_space_group_IT_number 1
_space_group_name_Hall 'P 1'
_cell_length_a 4.301
_cell_length_b 4.783
_cell_length_c 4.783
_cell_angle_alpha 90.00
_cell_angle_beta 90.00
_cell_angle_gamma 90.00
loop_
_atom_site_label
_atom_site_type_symbol
_atom_site_fract_x
_atom_site_fract_y
_atom_site_fract_z
Mg1 Mg 0.500 0.500 0.500
Sn1 Sn 0.000 0.000 0.500
Sn2 Sn 0.000 0.500 0.000
Pa1 Pa 0.500 0.000 0.000
# - size of the total moment (Bohr magnetons per cell) = 0.00
# - distance to the lowest polymorph of the same formula (eV per atom) = 0.000
# - uncorrected energy (eV per atom) = -5.05